(1)
# BaZn2Ir3

A geometry-optimized BaZn2Ir3 structure (PBE-GGA, Alexandria via LeMat-Bulk).

Unit cell a=6.8891 b=6.8891 c=5.0759 alpha=90.00 beta=90.00 gamma=78.90
Fractional coordinates of all 12 atoms:
Ba 0.1666 0.8334 0.7500
Ba 0.8334 0.1666 0.2500
Zn 0.2884 0.2884 0.0000
Zn 0.2884 0.2884 0.5000
Zn 0.7116 0.7116 0.0000
Zn 0.7116 0.7116 0.5000
Ir 0.0418 0.5503 0.2500
Ir 0.4241 0.5759 0.2500
Ir 0.4497 0.9582 0.2500
Ir 0.5503 0.0418 0.7500
Ir 0.5759 0.4241 0.7500
Ir 0.9582 0.4497 0.7500

calculated volume	19.70	A^3/atom

=====

(2)
# Ca2ScUO6

A geometry-optimized Ca2ScUO6 structure (PBE-GGA, Alexandria via LeMat-Bulk).

Unit cell a=5.6755 b=5.8676 c=9.9260 alpha=90.00 beta=124.56 gamma=90.00
Fractional coordinates of all 20 atoms:
Ca 0.2350 0.0514 0.2493
Ca 0.2350 0.4486 0.7493
Ca 0.7650 0.5514 0.2507
Ca 0.7650 0.9486 0.7507
Sc 0.0000 0.0000 0.5000
Sc 0.0000 0.5000 0.0000
U 0.5000 0.0000 0.0000
U 0.5000 0.5000 0.5000
O 0.1361 0.1993 0.9411
O 0.1361 0.3007 0.4411
O 0.2400 0.6981 0.9387
O 0.2400 0.8019 0.4387
O 0.3614 0.0467 0.7484
O 0.3614 0.4533 0.2484
O 0.6386 0.5467 0.7516
O 0.6386 0.9533 0.2516
O 0.7600 0.1981 0.5613
O 0.7600 0.3019 0.0613
O 0.8639 0.6993 0.5589
O 0.8639 0.8007 0.0589

formation energy from raw total energies	-75.8	kcal/mol of atoms
calculated volume	13.61	A^3/atom

=====

(3)
# HoSn2Ir2

A geometry-optimized HoSn2Ir2 structure (PBE-GGA, Alexandria via LeMat-Bulk).

Unit cell a=4.6350 b=4.4601 c=10.7570 alpha=90.00 beta=99.76 gamma=90.00
Fractional coordinates of all 10 atoms:
Ho 0.1550 0.2500 0.2667
Ho 0.8450 0.7500 0.7333
Sn 0.2488 0.7500 0.4975
Sn 0.3462 0.2500 0.8792
Sn 0.6538 0.7500 0.1208
Sn 0.7512 0.2500 0.5025
Ir 0.1220 0.7500 0.9876
Ir 0.3034 0.2500 0.6361
Ir 0.6966 0.7500 0.3639
Ir 0.8780 0.2500 0.0124

calculated volume	21.92	A^3/atom

=====

(4)
# La2InSe

A geometry-optimized La2InSe structure (PBE-GGA, Alexandria via LeMat-Bulk).

Unit cell a=8.9191 b=8.9191 c=8.9191 alpha=26.87 beta=26.87 gamma=26.87
Fractional coordinates of all 4 atoms:
La 0.0000 0.0000 0.0000
La 0.1903 0.1903 0.1903
In 0.7624 0.7624 0.7624
Se 0.5944 0.5944 0.5944

formation energy from raw total energies	-25.2	kcal/mol of atoms
energy above the lowest structure with this stoichiometry	0.273	eV/f.u.
calculated volume	31.96	A^3/atom

=====

(5)
# CaCd9Ga2

A geometry-optimized CaCd9Ga2 structure (PBE-GGA, Alexandria via LeMat-Bulk).

Unit cell a=9.3032 b=9.3032 c=9.3032 alpha=99.95 beta=99.95 gamma=130.88
Fractional coordinates of all 24 atoms:
Ca 0.3750 0.6250 0.7500
Ca 0.6250 0.3750 0.2500
Cd 0.1143 0.5482 0.3241
Cd 0.1143 0.7903 0.5661
Cd 0.1250 0.8750 0.2500
Cd 0.2097 0.2758 0.3241
Cd 0.2097 0.8857 0.9339
Cd 0.2758 0.2097 0.8241
Cd 0.2758 0.4518 0.0661
Cd 0.4518 0.2758 0.5661
Cd 0.4518 0.8857 0.1759
Cd 0.5482 0.1143 0.8241
Cd 0.5482 0.7242 0.4339
Cd 0.7242 0.5482 0.9339
Cd 0.7242 0.7903 0.1759
Cd 0.7903 0.1143 0.0661
Cd 0.7903 0.7242 0.6759
Cd 0.8750 0.1250 0.7500
Cd 0.8857 0.2097 0.4339
Cd 0.8857 0.4518 0.6759
Ga 0.0000 0.0000 0.0000
Ga 0.0000 0.0000 0.5000
Ga 0.0000 0.5000 0.0000
Ga 0.5000 0.0000 0.5000

calculated volume	23.07	A^3/atom

=====

(6)
# PuHgP2O8

A geometry-optimized PuHgP2O8 structure (PBE-GGA, Alexandria via LeMat-Bulk).

Unit cell a=5.3131 b=5.3131 c=7.9398 alpha=99.60 beta=99.60 gamma=64.54
Fractional coordinates of all 12 atoms:
Pu 0.0000 0.0000 0.0000
Hg 0.0000 0.0000 0.5000
P 0.3193 0.3193 0.7761
P 0.6807 0.6807 0.2239
O 0.1974 0.6446 0.8002
O 0.2157 0.2157 0.9098
O 0.2287 0.2287 0.5871
O 0.3554 0.8026 0.1998
O 0.6446 0.1974 0.8002
O 0.7713 0.7713 0.4129
O 0.7843 0.7843 0.0902
O 0.8026 0.3554 0.1998

formation energy from raw total energies	-49.5	kcal/mol of atoms
calculated volume	16.53	A^3/atom

=====

(7)
# CoPt2Pb

A geometry-optimized CoPt2Pb structure (PBE-GGA, Alexandria via LeMat-Bulk).

Unit cell a=9.7601 b=9.7601 c=9.7601 alpha=156.77 beta=156.77 gamma=33.08
Fractional coordinates of all 8 atoms:
Co 0.0000 0.0000 0.0000
Co 0.7500 0.2500 0.5000
Pt 0.1038 0.6250 0.9788
Pt 0.3750 0.3538 0.4788
Pt 0.6462 0.1250 0.0212
Pt 0.8750 0.8962 0.5212
Pb 0.2500 0.7500 0.5000
Pb 0.5000 0.5000 0.0000

calculated volume	18.06	A^3/atom

=====

(8)
# In2GeMo

A geometry-optimized In2GeMo structure (PBE-GGA, Alexandria via LeMat-Bulk).

Unit cell a=6.2649 b=6.2649 c=6.2649 alpha=101.19 beta=101.19 gamma=127.74
Fractional coordinates of all 8 atoms:
In 0.1255 0.6250 0.0005
In 0.3750 0.3755 0.5005
In 0.6245 0.1250 0.9995
In 0.8750 0.8745 0.4995
Ge 0.0000 0.0000 0.0000
Ge 0.7500 0.2500 0.5000
Mo 0.2500 0.7500 0.5000
Mo 0.5000 0.5000 0.0000

calculated volume	21.82	A^3/atom

=====

no.,energy (eV/atom)
1,-5.23
2,-8.42
3,-6.54
4,-5.11
5,-1.43
6,-7.57
7,-5.43
8,-4.54